No. 1
This record from the Alexandria database describes crystalline In5Ga3Br12 at its relaxed geometry. The functional is PBE.

Computed properties:
Total magnetic moment (μB per cell): 0.00
E_form (uncorrected) (eV per atom): -0.578
V (Å³/f.u.): 764.3

Cell lengths 15.836, 15.836, 15.836 Å; angles 109.47, 109.47, 109.47 degrees
Atoms (fractional coordinates):
Br1 0.909 0.810 0.537
Br2 0.310 0.773 0.401
Br3 0.227 0.690 0.099
Br4 0.591 0.963 0.690
Br5 0.463 0.773 0.872
Br6 0.690 0.227 0.599
Br7 0.773 0.463 0.372
Br8 0.310 0.537 0.409
Br9 0.190 0.099 0.727
Br10 0.901 0.810 0.773
Br11 0.810 0.901 0.273
Br12 0.963 0.591 0.190
Br13 0.628 0.591 0.901
Br14 0.091 0.190 0.463
Br15 0.773 0.310 0.901
Br16 0.409 0.372 0.599
Br17 0.372 0.963 0.773
Br18 0.128 0.401 0.091
Br19 0.963 0.372 0.273
Br20 0.628 0.037 0.227
Br21 0.372 0.409 0.099
Br22 0.401 0.273 0.310
Br23 0.599 0.872 0.409
Br24 0.537 0.227 0.128
Br25 0.273 0.401 0.810
Br26 0.190 0.091 0.963
Br27 0.872 0.599 0.909
Br28 0.091 0.901 0.128
Br29 0.727 0.128 0.037
Br30 0.810 0.909 0.037
Br31 0.901 0.091 0.628
Br32 0.099 0.190 0.227
Br33 0.872 0.273 0.463
Br34 0.227 0.537 0.628
Br35 0.727 0.599 0.190
Br36 0.591 0.628 0.401
Br37 0.463 0.690 0.091
Br38 0.099 0.909 0.372
Br39 0.409 0.037 0.310
Br40 0.537 0.310 0.909
Br41 0.037 0.409 0.810
Br42 0.401 0.128 0.591
Br43 0.909 0.099 0.872
Br44 0.690 0.463 0.591
Br45 0.037 0.628 0.727
Br46 0.599 0.727 0.690
Br47 0.273 0.872 0.963
Br48 0.128 0.727 0.537
In1 0.125 0.375 0.250
In2 0.750 0.125 0.875
In3 0.250 0.875 0.125
In4 0.000 0.500 0.000
In5 0.500 0.000 0.000
In6 0.500 0.500 0.000
In7 0.000 0.000 0.500
In8 0.500 0.500 0.500
In9 0.875 0.625 0.750
In10 0.125 0.750 0.375
In11 0.000 0.000 0.000
In12 0.625 0.750 0.875
In13 0.750 0.625 0.375
In14 0.625 0.875 0.250
In15 0.375 0.250 0.125
In16 0.500 0.000 0.500
In17 0.250 0.375 0.625
In18 0.375 0.125 0.750
In19 0.000 0.500 0.500
In20 0.875 0.250 0.625
Ga1 0.625 0.250 0.375
Ga2 0.625 0.375 0.750
Ga3 0.875 0.750 0.125
Ga4 0.250 0.125 0.375
Ga5 0.125 0.875 0.750
Ga6 0.375 0.625 0.250
Ga7 0.750 0.875 0.625
Ga8 0.750 0.375 0.125
Ga9 0.375 0.750 0.625
Ga10 0.125 0.250 0.875
Ga11 0.250 0.625 0.875
Ga12 0.875 0.125 0.250



No. 2
This record from the Alexandria database describes crystalline ZnReNi at its relaxed geometry. The functional is PBE.

Computed properties:
Total magnetic moment (μB per cell): 0.00
Energy above the lowest structure with this stoichiometry (kJ per mole of atoms): 4.7
V (Å³/f.u.): 40.2
DFT formation energy (kcal/mol of atoms): 1.1

Cell lengths 4.405, 7.962, 4.579 Å; angles 90.00, 90.00, 90.00 degrees
Atoms (fractional coordinates):
Re1 0.500 0.169 0.046
Re2 0.500 0.669 0.546
Re3 0.500 0.831 0.046
Re4 0.500 0.331 0.546
Zn1 0.000 0.000 0.897
Zn2 0.500 0.000 0.540
Zn3 0.500 0.500 0.040
Zn4 0.000 0.500 0.397
Ni1 0.000 0.678 0.882
Ni2 0.000 0.178 0.382
Ni3 0.000 0.322 0.882
Ni4 0.000 0.822 0.382



No. 3
This record from the Alexandria database describes crystalline VPI2N at its relaxed geometry. The functional is PBE.

Computed properties:
Total magnetic moment (μB per cell): 0.26
E_form (uncorrected) (eV per atom): 0.998
Energy above the lowest structure with this stoichiometry (kJ per mole of atoms): 45.5
V (Å³/f.u.): 107.4

Cell lengths 5.639, 5.639, 3.379 Å; angles 90.00, 90.00, 90.00 degrees
Each line ends with the local moment (μB).
Atoms (fractional coordinates):
V1 0.500 0.500 0.500  -0.28
I1 0.500 0.000 0.000  0.03
I2 0.000 0.500 0.000  0.03
P1 0.000 0.000 0.000  0.01
N1 0.000 0.000 0.500  0.00